No. 1
This record from the Alexandria database describes crystalline NaMg2Zr at its relaxed geometry. The functional is GGA-PBE.

Calculated values
The formation energy comes out at 0.613 eV per atom. Its space group is I-42d. Its density is 2.67 g/cm³.

Unit cell a=8.019 b=8.019 c=6.485 alpha=51.81 beta=51.81 gamma=90.00
Last column: magnetic moment on the atom in μB.
Sites, in units of the cell vectors:
Mg1 0.375 0.385 0.750  0.01
Mg2 0.875 0.865 0.750  0.00
Mg3 0.135 0.625 0.250  0.00
Mg4 0.615 0.125 0.250  0.01
Zr1 0.750 0.250 0.500  0.39
Zr2 0.000 0.000 0.000  0.39
Na1 0.250 0.750 0.500  0.01
Na2 0.500 0.500 0.000  0.01


No. 2
This record from the Alexandria database describes crystalline Sr2ZnSi4Pd3 at its relaxed geometry. The functional is GGA-PBE.

Calculated values
As for the uncorrected formation energy: -592.7 kJ/mol of formula units. Its space group is P-4m2. Its density is 5.92 g/cm³.

Unit cell a=4.280 b=4.280 c=10.293 alpha=90.00 beta=90.00 gamma=90.00
Sites, in units of the cell vectors:
Sr1 0.500 0.000 0.249
Sr2 0.000 0.500 0.751
Zn1 0.500 0.500 0.500
Pd1 0.000 0.000 0.500
Pd2 0.500 0.000 0.878
Pd3 0.000 0.500 0.122
Si1 0.500 0.000 0.634
Si2 0.500 0.500 0.000
Si3 0.000 0.500 0.366
Si4 0.000 0.000 0.000


No. 3
This record from the Alexandria database describes crystalline AcAsPt at its relaxed geometry. The functional is GGA-PBE.

Calculated values
The formation energy comes out at -1.164 eV per atom. Its space group is Immm. Its density is 10.90 g/cm³.

Unit cell a=4.327 b=6.300 c=6.300 alpha=84.67 beta=69.92 gamma=69.92
Sites, in units of the cell vectors:
Pt1 0.837 0.163 0.163
Pt2 0.163 0.837 0.837
As1 0.817 0.683 0.683
As2 0.183 0.317 0.317
Ac1 0.500 0.247 0.753
Ac2 0.500 0.753 0.247


No. 4
This record from the Alexandria database describes crystalline Ta2CrIn at its relaxed geometry. The functional is GGA-PBE.

Calculated values
The formation energy comes out at 0.159 eV per atom. Its space group is P4/mmm. Its density is 12.52 g/cm³.

Unit cell a=3.110 b=3.110 c=7.251 alpha=90.00 beta=90.00 gamma=90.00
Sites, in units of the cell vectors:
Ta1 0.000 0.000 0.453
Ta2 0.000 0.000 0.047
Cr1 0.500 0.500 0.250
In1 0.500 0.500 0.750


No. 5
This record from the Alexandria database describes crystalline YEr3Te2 at its relaxed geometry. The functional is GGA-PBE.

Calculated values
As for the uncorrected formation energy: -442.1 kJ/mol of formula units. Its space group is C2/m. Its density is 8.13 g/cm³.

Unit cell a=3.909 b=11.131 c=10.547 alpha=129.37 beta=90.00 gamma=100.11
Sites, in units of the cell vectors:
Y1 0.891 0.781 0.880
Y2 0.109 0.219 0.120
Er1 0.689 0.379 0.505
Er2 0.367 0.735 0.200
Er3 0.951 0.901 0.556
Er4 0.633 0.265 0.800
Er5 0.049 0.099 0.444
Er6 0.311 0.621 0.495
Te1 0.491 0.983 0.826
Te2 0.746 0.492 0.190
Te3 0.509 0.017 0.174
Te4 0.254 0.508 0.810


No. 6
This record from the Alexandria database describes crystalline Tl2NiPbBr at its relaxed geometry. The functional is GGA-PBE.

Calculated values
As for the uncorrected formation energy: -91.8 kJ/mol of formula units. Its space group is P4/mmm. Its density is 8.88 g/cm³.

Unit cell a=5.235 b=5.235 c=5.147 alpha=90.00 beta=90.00 gamma=90.00
Sites, in units of the cell vectors:
Pb1 0.000 0.000 0.500
Tl1 0.000 0.500 0.000
Tl2 0.500 0.000 0.000
Br1 0.500 0.500 0.500
Ni1 0.000 0.000 0.000


Repeat the sixth record exactly.
This record from the Alexandria database describes crystalline Tl2NiPbBr at its relaxed geometry. The functional is GGA-PBE.

Calculated values
As for the uncorrected formation energy: -91.8 kJ/mol of formula units. Its space group is P4/mmm. Its density is 8.88 g/cm³.

Unit cell a=5.235 b=5.235 c=5.147 alpha=90.00 beta=90.00 gamma=90.00
Sites, in units of the cell vectors:
Pb1 0.000 0.000 0.500
Tl1 0.000 0.500 0.000
Tl2 0.500 0.000 0.000
Br1 0.500 0.500 0.500
Ni1 0.000 0.000 0.000